! Tl3WF, optimized geometry, DFT PBE with a Hubbard U; values from VASP
&SYSTEM
  ibrav = 0, nat = 5, ntyp = 3
/
ATOMIC_SPECIES
F 19.00 F.upf
Tl 204.38 Tl.upf
W 183.84 W.upf
ATOMIC_POSITIONS crystal
F 0.500 0.500 0.500
Tl 0.500 0.000 0.000
Tl 0.000 0.000 0.500
Tl 0.000 0.500 0.000
W 0.000 0.000 0.000
CELL_PARAMETERS angstrom
5.651 0.000 0.000
0.000 5.651 0.000
0.000 0.000 5.651
! ΔE to the lowest computed polymorph: 239.6 meV/atom
! Calculated volume: 36.09 Å³/atom
! Space group: Pm-3m (221)
! Calculated total energy: -2.877 eV/atom